Li2TiV3O8 | PBE with a Hubbard U | relaxed

Output
Crystal system: triclinic
Polymorph energy (0 for the lowest one) (eV/atom): 0.064
Space group: P-1 (2)

a = 6.0139 Å, b = 6.0286 Å, c = 10.3279 Å
α = 106.70°, β = 90.92°, γ = 60.35°
Fractional coordinates of all 28 atoms:
V  0.7500  0.0000  0.2500
V  0.7500  0.0000  0.7500
V  0.2500  0.0000  0.7500
V  0.4943  0.0034  0.0027
V  0.2500  0.0000  0.2500
V  0.0057  0.9966  0.4973
O  0.8444  0.7880  0.3855
O  0.0971  0.7888  0.6334
O  0.8813  0.2001  0.8684
O  0.3651  0.7980  0.3741
O  0.3849  0.2160  0.3711
O  0.6556  0.2120  0.1145
O  0.1568  0.2143  0.6143
O  0.8622  0.7857  0.8792
O  0.6187  0.7999  0.6316
O  0.1151  0.7840  0.1289
O  0.3432  0.7857  0.8857
O  0.9022  0.2130  0.3647
O  0.6378  0.2143  0.6208
O  0.1349  0.2020  0.1259
O  0.5978  0.7870  0.1353
O  0.4029  0.2112  0.8666
Li  0.7501  0.5000  0.2500
Li  0.5195  0.4913  0.9988
Li  0.2499  0.5000  0.7500
Li  0.9805  0.5087  0.5012
Ti  0.0024  0.9742  0.9995
Ti  0.4976  0.0259  0.5005